[1]
Below is an optimized crystal structure of U2Al9Rh3, with properties calculated at the GGA-PBE level.

a = 7.6357 Å, b = 7.6357 Å, c = 10.3976 Å
α = 111.66°, β = 111.66°, γ = 59.43°
Fractional positions:
U 0.0872 0.2504 0.2483
U 0.2504 0.0872 0.7483
U 0.7496 0.9128 0.2517
U 0.9128 0.7496 0.7517
Al 0.0250 0.8578 0.0766
Al 0.1422 0.9750 0.4234
Al 0.1918 0.3613 0.5728
Al 0.2133 0.5783 0.2516
Al 0.3137 0.4840 0.9448
Al 0.3613 0.1918 0.0728
Al 0.3669 0.6331 0.7500
Al 0.4217 0.7867 0.2484
Al 0.4840 0.3137 0.4448
Al 0.5160 0.6863 0.5552
Al 0.5783 0.2133 0.7516
Al 0.6331 0.3669 0.2500
Al 0.6387 0.8082 0.9272
Al 0.6863 0.5160 0.0552
Al 0.7867 0.4217 0.7484
Al 0.8082 0.6387 0.4272
Al 0.8578 0.0250 0.5766
Al 0.9750 0.1422 0.9234
Rh 0.0000 0.5000 0.0000
Rh 0.1554 0.6723 0.4977
Rh 0.3277 0.8446 0.0023
Rh 0.5000 0.0000 0.5000
Rh 0.6723 0.1554 0.9977
Rh 0.8446 0.3277 0.5023

As for the formation energy: -13.4 kcal/mol of atoms. The space group is C2/c, No. 15.


[2]
Below is an optimized crystal structure of Y2HfGe3Ir4, with properties calculated at the GGA-PBE level.

a = 4.1326 Å, b = 4.1326 Å, c = 11.0105 Å
α = 90.00°, β = 90.00°, γ = 90.00°
Fractional positions:
Y 0.0000 0.5000 0.2305
Y 0.5000 0.0000 0.7695
Hf 0.0000 0.0000 0.5000
Ge 0.0000 0.5000 0.8727
Ge 0.5000 0.0000 0.1273
Ge 0.5000 0.5000 0.5000
Ir 0.0000 0.0000 0.0000
Ir 0.0000 0.5000 0.6495
Ir 0.5000 0.0000 0.3505
Ir 0.5000 0.5000 0.0000

As for the formation energy: -19.2 kcal/mol of atoms. The space group is P-4m2, No. 115.


- Which formula does entry 1 have?
  U2Al9Rh3